[1]
SrLi2Hg | meta-GGA SCAN | PBEsol geometry

Magnetic moment (μB/f.u.): 0.00
E_tot (eV/atom): -24.116
DFT formation energy (eV per atom): -0.311
Space-group type: No. 71

a b c (Å): 5.930 5.930 5.930
angles (deg): 141.63 126.30 67.91
Element x y z (fractional)
Sr1 0.000 0.000 0.000
Li1 0.292 0.792 0.500
Li2 0.708 0.208 0.500
Hg1 0.500 0.500 0.000

=====

[2]
YTl | meta-GGA SCAN | PBEsol geometry

Magnetic moment (μB/f.u.): 0.00
E_tot (eV/atom): -50.748
DFT formation energy (eV per atom): -0.648
Space-group type: No. 63

a b c (Å): 6.104 6.104 4.306
angles (deg): 90.00 90.00 136.96
Element x y z (fractional)
Y1 0.135 0.865 0.750
Y2 0.865 0.135 0.250
Tl1 0.408 0.592 0.750
Tl2 0.592 0.408 0.250

=====

[3]
TlRe3Au | meta-GGA SCAN | PBEsol geometry

Magnetic moment (μB/f.u.): 3.95
E_tot (eV/atom): -68.078
DFT formation energy (eV per atom): 2.883
Space-group type: No. 221
E above lowest polymorph (eV/atom): 0.000

a b c (Å): 4.812 4.812 4.812
angles (deg): 90.00 90.00 90.00
Element x y z (fractional)
Tl1 0.000 0.000 0.000
Re1 0.000 0.500 0.500
Re2 0.500 0.000 0.500
Re3 0.500 0.500 0.000
Au1 0.500 0.500 0.500

=====

[4]
ScMnN2 | meta-GGA SCAN | PBEsol geometry

Magnetic moment (μB/f.u.): 2.55
E_tot (eV/atom): -13.801
Space-group type: No. 122
ΔE_f (raw) (eV per atom): -1.0328

a b c (Å): 5.602 5.602 5.602
angles (deg): 133.32 133.32 68.15
Element x y z (fractional)
Sc1 0.000 0.000 0.000
Sc2 0.750 0.250 0.500
Mn1 0.250 0.750 0.500
Mn2 0.500 0.500 0.000
N1 0.183 0.625 0.058
N2 0.375 0.433 0.558
N3 0.567 0.125 0.942
N4 0.875 0.817 0.442

=====

[5]
MgNiPt4 | meta-GGA SCAN | PBEsol geometry

Magnetic moment (μB/f.u.): 1.17
E_tot (eV/atom): -50.525
DFT formation energy (eV per atom): -0.205
Space-group type: No. 216

a b c (Å): 5.162 5.162 5.162
angles (deg): 60.00 60.00 60.00
Element x y z (fractional)
Mg1 0.000 0.000 0.000
Ni1 0.250 0.250 0.250
Pt1 0.126 0.625 0.625
Pt2 0.625 0.126 0.625
Pt3 0.625 0.625 0.126
Pt4 0.625 0.625 0.625

=====

[6]
AlZn | meta-GGA SCAN | PBEsol geometry

Magnetic moment (μB/f.u.): 0.00
E_tot (eV/atom): -10.625
DFT formation energy (eV per atom): 0.008
Space-group type: No. 141

a b c (Å): 4.855 4.855 4.855
angles (deg): 132.38 132.38 69.63
Element x y z (fractional)
Al1 0.375 0.625 0.750
Al2 0.625 0.375 0.250
Zn1 0.125 0.875 0.250
Zn2 0.875 0.125 0.750

=====

[7]
AgPPt | meta-GGA SCAN | PBEsol geometry

Magnetic moment (μB/f.u.): 0.00
E_tot (eV/atom): -37.431
DFT formation energy (eV per atom): -0.111
Space-group type: No. 156
E above lowest polymorph (eV/atom): 0.004

a b c (Å): 3.105 3.105 5.870
angles (deg): 90.00 90.00 120.00
Element x y z (fractional)
Ag1 0.000 0.000 0.000
P1 0.333 0.667 0.623
Pt1 0.667 0.333 0.374

=====

[8]
OsS2ClO | meta-GGA SCAN | PBEsol geometry

Magnetic moment (μB/f.u.): 1.92
E_tot (eV/atom): -20.325
Space-group type: No. 123
ΔE_f (raw) (eV per atom): 0.7441

a b c (Å): 4.436 4.436 4.959
angles (deg): 90.00 90.00 90.00
Element x y z (fractional)
Os1 0.000 0.000 0.000
S1 0.000 0.500 0.000
S2 0.500 0.000 0.000
Cl1 0.000 0.000 0.500
O1 0.500 0.500 0.500

=====

[9]
Cu2Hg2Pb | meta-GGA SCAN | PBEsol geometry

Magnetic moment (μB/f.u.): 0.00
E_tot (eV/atom): -48.246
DFT formation energy (eV per atom): 0.256
Space-group type: No. 139

a b c (Å): 6.575 6.575 6.575
angles (deg): 143.62 143.62 52.39
Element x y z (fractional)
Cu1 0.099 0.099 0.000
Cu2 0.901 0.901 0.000
Hg1 0.250 0.750 0.500
Hg2 0.750 0.250 0.500
Pb1 0.500 0.500 0.000

=====

[10]
LaY2Co | meta-GGA SCAN | PBEsol geometry

Magnetic moment (μB/f.u.): 0.56
E_tot (eV/atom): -29.129
DFT formation energy (eV per atom): -0.105
Space-group type: No. 123
E above lowest polymorph (eV/atom): 0.000

a b c (Å): 3.372 3.372 8.910
angles (deg): 90.00 90.00 90.00
Element x y z (fractional)
La1 0.000 0.000 0.000
Y1 0.500 0.500 0.323
Y2 0.500 0.500 0.677
Co1 0.000 0.000 0.500

=====

[11]
NaHoS2 | meta-GGA SCAN | PBEsol geometry

Magnetic moment (μB/f.u.): 0.00
E_tot (eV/atom): -20.232
Space-group type: No. 166
ΔE_f (raw) (eV per atom): -2.1171

a b c (Å): 6.966 6.966 6.966
angles (deg): 32.61 32.61 32.61
Element x y z (fractional)
Na1 0.000 0.000 0.000
Ho1 0.500 0.500 0.500
S1 0.242 0.242 0.242
S2 0.758 0.758 0.758

=====

[12]
YBeW | meta-GGA SCAN | PBEsol geometry

Magnetic moment (μB/f.u.): 2.94
E_tot (eV/atom): -32.066
DFT formation energy (eV per atom): 1.896
Space-group type: No. 216
E above lowest polymorph (eV/atom): 1.485

a b c (Å): 4.539 4.539 4.539
angles (deg): 60.00 60.00 60.00
Element x y z (fractional)
Y1 0.000 0.000 0.000
Be1 0.250 0.250 0.250
W1 0.750 0.750 0.750

=====

[13]
BaAg4Ru | meta-GGA SCAN | PBEsol geometry

Magnetic moment (μB/f.u.): 0.00
E_tot (eV/atom): -32.887
DFT formation energy (eV per atom): 0.421
Space-group type: No. 216

a b c (Å): 5.518 5.518 5.518
angles (deg): 60.00 60.00 60.00
Element x y z (fractional)
Ba1 0.000 0.000 0.000
Ag1 0.376 0.376 0.376
Ag2 0.376 0.376 0.871
Ag3 0.376 0.871 0.376
Ag4 0.871 0.376 0.376
Ru1 0.750 0.750 0.750

=====

[14]
KYNi | meta-GGA SCAN | PBEsol geometry

Magnetic moment (μB/f.u.): 0.00
E_tot (eV/atom): -16.882
DFT formation energy (eV per atom): 0.567
Space-group type: No. 216

a b c (Å): 4.831 4.831 4.831
angles (deg): 60.00 60.00 60.00
Element x y z (fractional)
K1 0.000 0.000 0.000
Y1 0.500 0.500 0.500
Ni1 0.250 0.250 0.250

=====

[15]
La2TlAg | meta-GGA SCAN | PBEsol geometry

Magnetic moment (μB/f.u.): 0.43
E_tot (eV/atom): -47.957
DFT formation energy (eV per atom): -0.473
Space-group type: No. 123
E above lowest polymorph (eV/atom): 0.027

a b c (Å): 3.753 3.753 7.945
angles (deg): 90.00 90.00 90.00
Element x y z (fractional)
La1 0.000 0.000 0.236
La2 0.000 0.000 0.764
Tl1 0.500 0.500 0.500
Ag1 0.500 0.500 0.000

=====

[16]
La2ScMo | meta-GGA SCAN | PBEsol geometry

Magnetic moment (μB/f.u.): 1.12
E_tot (eV/atom): -33.353
DFT formation energy (eV per atom): 0.480
Space-group type: No. 65

a b c (Å): 3.263 3.263 10.343
angles (deg): 90.00 90.00 115.48
Element x y z (fractional)
La1 0.000 0.000 0.213
La2 0.000 0.000 0.787
Sc1 0.500 0.500 0.500
Mo1 0.500 0.500 0.000

=====

[17]
KBeZn2 | meta-GGA SCAN | PBEsol geometry

Magnetic moment (μB/f.u.): 0.00
E_tot (eV/atom): -9.602
DFT formation energy (eV per atom): 0.326
Space-group type: No. 25

a b c (Å): 2.625 3.766 7.570
angles (deg): 90.00 90.00 90.00
Element x y z (fractional)
K1 0.000 0.000 0.000
Be1 0.500 0.500 0.655
Zn1 0.000 0.000 0.557
Zn2 0.500 0.500 0.335

=====

[18]
KMg2Nb | meta-GGA SCAN | PBEsol geometry

Magnetic moment (μB/f.u.): 3.65
E_tot (eV/atom): -12.027
DFT formation energy (eV per atom): 0.825
Space-group type: No. 225
E above lowest polymorph (eV/atom): 0.000

a b c (Å): 5.245 5.245 5.245
angles (deg): 60.00 60.00 60.00
Element x y z (fractional)
K1 0.000 0.000 0.000
Mg1 0.250 0.250 0.250
Mg2 0.750 0.750 0.750
Nb1 0.500 0.500 0.500

=====

[19]
LiYCd | meta-GGA SCAN | PBEsol geometry

Magnetic moment (μB/f.u.): 0.00
E_tot (eV/atom): -20.229
DFT formation energy (eV per atom): -0.014
Space-group type: No. 156
E above lowest polymorph (eV/atom): 0.235

a b c (Å): 3.363 3.363 7.375
angles (deg): 90.00 90.00 120.00
Element x y z (fractional)
Li1 0.000 0.000 0.000
Y1 0.333 0.667 0.629
Cd1 0.667 0.333 0.285

=====

[20]
NiIrPt2 | meta-GGA SCAN | PBEsol geometry

Magnetic moment (μB/f.u.): 0.96
E_tot (eV/atom): -56.903
DFT formation energy (eV per atom): 0.012
Space-group type: No. 119
E above lowest polymorph (eV/atom): 0.105

a b c (Å): 4.623 4.623 4.623
angles (deg): 131.21 131.21 71.48
Element x y z (fractional)
Ni1 0.000 0.000 0.000
Ir1 0.250 0.750 0.500
Pt1 0.500 0.500 0.000
Pt2 0.750 0.250 0.500